First-principles (PBE-GGA) data for Cs2Sb2Ru after structural relaxation, as listed in Alexandria.

## Properties
Its space group is No. 127. The value obtained for the uncorrected formation energy is -0.028 eV/atom.

Unit cell a=7.0695 b=7.0695 c=6.4990 alpha=90.00 beta=90.00 gamma=90.00
Positions (direct):
Cs 0.1787 0.3213 0.0000
Cs 0.3213 0.8213 0.0000
Cs 0.6787 0.1787 0.0000
Cs 0.8213 0.6787 0.0000
Sb 0.1511 0.6511 0.5000
Sb 0.3489 0.1511 0.5000
Sb 0.6511 0.8489 0.5000
Sb 0.8489 0.3489 0.5000
Ru 0.0000 0.0000 0.5000
Ru 0.5000 0.5000 0.5000

=====

First-principles (PBE-GGA) data for NaCrSb2Te after structural relaxation, as listed in Alexandria.

## Properties
Its space group is No. 123. Its energy above the most stable polymorph in this dataset is 1384 meV/atom. The value obtained for the uncorrected formation energy is 1.493 eV/atom.

Unit cell a=5.3098 b=5.3098 c=5.3486 alpha=90.00 beta=90.00 gamma=90.00
Positions (direct):
Na 0.0000 0.0000 0.0000
Cr 0.5000 0.5000 0.5000
Sb 0.0000 0.5000 0.0000
Sb 0.5000 0.0000 0.0000
Te 0.0000 0.0000 0.5000

=====

First-principles (PBE-GGA) data for InIr2Rh after structural relaxation, as listed in Alexandria.

## Properties
Its space group is No. 71. The calculation puts the calculated formation energy at 0.122 eV/atom.

Unit cell a=5.5428 b=5.5428 c=5.5428 alpha=150.58 beta=129.63 gamma=59.41
Positions (direct):
In 0.0000 0.0000 0.0000
Ir 0.2616 0.7616 0.5000
Ir 0.7384 0.2384 0.5000
Rh 0.5000 0.5000 0.0000

=====

First-principles (PBE-GGA) data for TcHg3 after structural relaxation, as listed in Alexandria.

## Properties
Its space group is No. 166. The calculation puts the calculated formation energy at 0.600 eV/atom. Its energy above the most stable polymorph in this dataset is 258 meV/atom.

Unit cell a=5.6473 b=5.6473 c=5.6473 alpha=116.86 beta=116.86 gamma=116.86
Positions (direct):
Tc 0.0000 0.0000 0.0000
Hg 0.0000 0.5000 0.5000
Hg 0.5000 0.0000 0.5000
Hg 0.5000 0.5000 0.0000

=====

First-principles (PBE-GGA) data for Dy4GaSnC after structural relaxation, as listed in Alexandria.

## Properties
Its space group is No. 63. The calculation puts the calculated formation energy at -0.512 eV/atom.

Unit cell a=8.4233 b=8.4233 c=6.7902 alpha=90.00 beta=90.00 gamma=132.46
Positions (direct):
Dy 0.0000 0.5000 0.0000
Dy 0.0000 0.5000 0.5000
Dy 0.0826 0.9174 0.7500
Dy 0.4107 0.5893 0.7500
Dy 0.5000 0.0000 0.0000
Dy 0.5000 0.0000 0.5000
Dy 0.5893 0.4107 0.2500
Dy 0.9174 0.0826 0.2500
Ga 0.1179 0.8821 0.2500
Ga 0.8821 0.1179 0.7500
Sn 0.3885 0.6115 0.2500
Sn 0.6115 0.3885 0.7500
C 0.2478 0.7522 0.7500
C 0.7522 0.2478 0.2500

=====

First-principles (PBE-GGA) data for Ag2Ir2O7 after structural relaxation, as listed in Alexandria.

## Properties
Its space group is No. 227. The value obtained for the uncorrected formation energy is -0.485 eV/atom.

Unit cell a=7.2252 b=7.2252 c=7.2252 alpha=60.00 beta=60.00 gamma=60.00
Positions (direct):
Ag 0.0000 0.0000 0.0000
Ag 0.0000 0.0000 0.5000
Ag 0.0000 0.5000 0.0000
Ag 0.5000 0.0000 0.0000
Ir 0.0000 0.5000 0.5000
Ir 0.5000 0.0000 0.5000
Ir 0.5000 0.5000 0.0000
Ir 0.5000 0.5000 0.5000
O 0.1250 0.1250 0.1250
O 0.1770 0.1770 0.5730
O 0.1770 0.5730 0.1770
O 0.1770 0.5730 0.5730
O 0.4270 0.4270 0.8230
O 0.4270 0.8230 0.4270
O 0.4270 0.8230 0.8230
O 0.5730 0.1770 0.1770
O 0.5730 0.1770 0.5730
O 0.5730 0.5730 0.1770
O 0.8230 0.4270 0.4270
O 0.8230 0.4270 0.8230
O 0.8230 0.8230 0.4270
O 0.8750 0.8750 0.8750

=====

First-principles (PBE-GGA) data for Pr2PuGe3Pd4 after structural relaxation, as listed in Alexandria.

## Properties
Its space group is No. 115. The calculation puts the calculated formation energy at -0.736 eV/atom.

Unit cell a=4.3489 b=4.3489 c=11.1199 alpha=90.00 beta=90.00 gamma=90.00
Positions (direct):
Pr 0.0000 0.5000 0.2253
Pr 0.5000 0.0000 0.7747
Pu 0.0000 0.0000 0.5000
Ge 0.0000 0.5000 0.8802
Ge 0.5000 0.0000 0.1198
Ge 0.5000 0.5000 0.5000
Pd 0.0000 0.0000 0.0000
Pd 0.0000 0.5000 0.6582
Pd 0.5000 0.0000 0.3418
Pd 0.5000 0.5000 0.0000

=====

First-principles (PBE-GGA) data for K2Na6HgPt after structural relaxation, as listed in Alexandria.

## Properties
Its space group is No. 225. The calculation puts the calculated formation energy at -0.033 eV/atom.

Unit cell a=8.2165 b=8.2165 c=8.2165 alpha=60.00 beta=60.00 gamma=60.00
Positions (direct):
K 0.2500 0.2500 0.2500
K 0.7500 0.7500 0.7500
Na 0.2403 0.2403 0.7597
Na 0.2403 0.7597 0.2403
Na 0.2403 0.7597 0.7597
Na 0.7597 0.2403 0.2403
Na 0.7597 0.2403 0.7597
Na 0.7597 0.7597 0.2403
Hg 0.5000 0.5000 0.5000
Pt 0.0000 0.0000 0.0000

=====

Number 1: size of the total moment 0.00 μB per formula unit, E -3.873 eV per atom. Number 2: size of the total moment 0.35 μB per formula unit, E -2.973 eV per atom. Number 3: size of the total moment 0.00 μB per formula unit, E -6.831 eV per atom. Number 4: size of the total moment 1.72 μB per formula unit, E -2.218 eV per atom. Number 5: size of the total moment 0.00 μB per formula unit, E -5.464 eV per atom. Number 6: size of the total moment 0.01 μB per formula unit, E -5.770 eV per atom. Number 7: size of the total moment 5.56 μB per formula unit, E -6.587 eV per atom. Number 8: size of the total moment 0.00 μB per formula unit, E -1.679 eV per atom.